No. 1
Ti2MnS4 | PBE | optimized geometry Values from VASP.

Cell and atoms, written as Quantum ESPRESSO input:
```
&SYSTEM
  ibrav = 0, nat = 14, ntyp = 3
/
ATOMIC_SPECIES
Ti 47.87 Ti.upf
Mn 54.94 Mn.upf
S 32.06 S.upf
ATOMIC_POSITIONS angstrom
Ti 0.000 0.000 0.000
Ti 1.802 1.802 -2.547
Ti 1.802 -1.802 2.547
Ti 0.000 3.605 0.000
Mn 3.605 1.802 1.273
Mn 0.000 1.802 3.820
S 3.605 3.505 -2.614
S 1.703 1.802 -0.067
S 1.902 -1.802 5.026
S 3.605 -0.100 2.614
S 0.000 3.704 2.479
S 1.703 5.407 0.067
S 1.902 1.802 5.161
S 0.000 0.100 7.708
CELL_PARAMETERS angstrom
-3.605 3.605 5.094
3.605 -3.605 5.094
3.605 3.605 -5.094
```

Computed properties:
As for the total energy: -7.07 eV/atom. The formation energy (no corrections) comes out at -1.14 eV/atom.

***

No. 2
Ti2MnS6 | PBE | optimized geometry Values from VASP.

Cell and atoms, written as Quantum ESPRESSO input:
```
&SYSTEM
  ibrav = 0, nat = 18, ntyp = 3
/
ATOMIC_SPECIES
Ti 47.87 Ti.upf
Mn 54.94 Mn.upf
S 32.06 S.upf
ATOMIC_POSITIONS angstrom
Ti 0.000 0.000 1.670
Ti 0.000 0.000 8.592
Ti 2.882 2.882 3.461
Ti 2.882 2.882 6.801
Mn 0.000 0.000 5.131
Mn 2.882 2.882 0.000
S 1.120 1.120 3.439
S 1.120 1.120 6.823
S 1.180 1.180 0.000
S 1.702 4.062 5.131
S 1.763 4.002 1.692
S 1.763 4.002 8.570
S 4.002 1.763 1.692
S 4.002 1.763 8.570
S 4.062 1.702 5.131
S 4.584 4.584 0.000
S 4.645 4.645 3.439
S 4.645 4.645 6.823
CELL_PARAMETERS angstrom
5.764 0.000 0.000
0.000 5.764 0.000
0.000 0.000 10.262
```

Computed properties:
As for the total energy: -6.41 eV/atom. The formation energy (no corrections) comes out at -0.88 eV/atom. As for the polymorph energy (0 for the lowest one): 1.274 eV/f.u.

***

No. 3
Ti3MnS4 | PBE | optimized geometry Values from VASP.

Cell and atoms, written as Quantum ESPRESSO input:
```
&SYSTEM
  ibrav = 0, nat = 16, ntyp = 3
/
ATOMIC_SPECIES
Ti 47.87 Ti.upf
Mn 54.94 Mn.upf
S 32.06 S.upf
ATOMIC_POSITIONS angstrom
Ti 1.196 0.123 1.021
Ti 1.196 4.827 1.021
Ti 1.196 7.425 3.969
Ti 3.589 2.475 1.243
Ti 3.589 5.074 4.190
Ti 3.589 9.777 4.190
Mn 1.196 2.475 3.019
Mn 3.589 7.425 2.192
S 1.196 0.061 3.756
S 1.196 2.475 0.712
S 1.196 4.889 3.756
S 1.196 7.425 1.440
S 3.589 2.475 3.771
S 3.589 5.011 1.455
S 3.589 7.425 4.500
S 3.589 9.839 1.455
CELL_PARAMETERS angstrom
4.785 0.000 0.000
0.000 9.900 0.000
0.000 0.000 5.211
```

Computed properties:
As for the total energy: -7.22 eV/atom. The formation energy (no corrections) comes out at -1.05 eV/atom.

***

No. 4
Ti2MnS6 | PBE | optimized geometry Values from VASP.

Cell and atoms, written as Quantum ESPRESSO input:
```
&SYSTEM
  ibrav = 0, nat = 9, ntyp = 3
/
ATOMIC_SPECIES
Ti 47.87 Ti.upf
Mn 54.94 Mn.upf
S 32.06 S.upf
ATOMIC_POSITIONS angstrom
Ti 1.697 0.000 2.314
Ti 11.614 0.000 4.689
Mn 8.177 0.000 0.000
S -0.583 0.000 1.527
S 4.018 0.000 3.047
S 2.885 0.000 6.332
S 10.426 0.000 0.671
S 9.292 0.000 3.956
S 13.894 0.000 5.476
CELL_PARAMETERS angstrom
8.177 -1.691 0.000
8.177 1.691 0.000
-3.043 0.000 7.003
```

Computed properties:
As for the total energy: -6.55 eV/atom. The formation energy (no corrections) comes out at -1.02 eV/atom. As for the polymorph energy (0 for the lowest one): 0.000 eV/f.u.

***

No. 5
Ti2MnS2 | PBE | optimized geometry Values from VASP.

Cell and atoms, written as Quantum ESPRESSO input:
```
&SYSTEM
  ibrav = 0, nat = 10, ntyp = 3
/
ATOMIC_SPECIES
Ti 47.87 Ti.upf
Mn 54.94 Mn.upf
S 32.06 S.upf
ATOMIC_POSITIONS angstrom
Ti 0.998 2.302 0.000
Ti 2.302 5.602 0.000
Ti 4.298 0.998 0.000
Ti 5.602 4.298 0.000
Mn 0.000 0.000 1.602
Mn 3.300 3.300 1.602
S 1.008 4.309 1.602
S 2.292 1.008 1.602
S 4.309 5.592 1.602
S 5.592 2.292 1.602
CELL_PARAMETERS angstrom
6.601 0.000 0.000
0.000 6.601 0.000
0.000 0.000 3.205
```

Computed properties:
As for the total energy: -7.50 eV/atom. The formation energy (no corrections) comes out at -0.85 eV/atom. As for the polymorph energy (0 for the lowest one): 0.000 eV/f.u.

***

No. 6
Ti2MnS3 | PBE | optimized geometry Values from VASP.

Cell and atoms, written as Quantum ESPRESSO input:
```
&SYSTEM
  ibrav = 0, nat = 12, ntyp = 3
/
ATOMIC_SPECIES
Ti 47.87 Ti.upf
Mn 54.94 Mn.upf
S 32.06 S.upf
ATOMIC_POSITIONS angstrom
Ti 0.000 0.000 3.114
Ti 0.000 0.000 6.234
Ti 0.000 0.000 12.462
Ti 0.000 0.000 15.582
Mn 0.000 0.000 0.000
Mn 0.000 0.000 9.348
S -1.950 -0.008 7.790
S -0.968 -1.693 10.906
S 0.983 -1.685 7.790
S -0.983 1.685 10.906
S 0.968 1.693 7.790
S 1.950 0.008 10.906
CELL_PARAMETERS angstrom
2.918 1.685 6.232
-2.918 1.685 6.232
0.000 -3.370 6.232
```

Computed properties:
As for the total energy: -7.30 eV/atom. The formation energy (no corrections) comes out at -1.07 eV/atom.

***

No. 7
Ti4MnS8 | PBE | optimized geometry Values from VASP.

Cell and atoms, written as Quantum ESPRESSO input:
```
&SYSTEM
  ibrav = 0, nat = 13, ntyp = 3
/
ATOMIC_SPECIES
Ti 47.87 Ti.upf
Mn 54.94 Mn.upf
S 32.06 S.upf
ATOMIC_POSITIONS angstrom
Ti 0.000 0.000 3.021
Ti 0.000 0.000 9.193
Ti 0.000 0.000 15.368
Ti 0.000 0.000 21.540
Mn 0.000 0.000 0.000
S 0.000 1.979 1.470
S 0.000 1.979 7.774
S 0.000 1.979 13.955
S 0.000 1.979 20.165
S 1.714 0.990 4.395
S 1.714 0.990 10.605
S 1.714 0.990 16.786
S 1.714 0.990 23.090
CELL_PARAMETERS angstrom
3.428 0.000 0.000
-1.714 2.969 0.000
0.000 0.000 24.561
```

Computed properties:
As for the total energy: -6.87 eV/atom. The formation energy (no corrections) comes out at -1.20 eV/atom. As for the polymorph energy (0 for the lowest one): 0.357 eV/f.u.

***

No. 8
Ti2MnS2 | PBE | optimized geometry Values from VASP.

Cell and atoms, written as Quantum ESPRESSO input:
```
&SYSTEM
  ibrav = 0, nat = 5, ntyp = 3
/
ATOMIC_SPECIES
Ti 47.87 Ti.upf
Mn 54.94 Mn.upf
S 32.06 S.upf
ATOMIC_POSITIONS angstrom
Ti 2.374 0.000 1.831
Ti 0.000 2.374 1.831
Mn 0.000 0.000 0.000
S 0.000 0.000 2.236
S 0.000 0.000 5.087
CELL_PARAMETERS angstrom
-2.374 2.374 3.662
2.374 -2.374 3.662
2.374 2.374 -3.662
```

Computed properties:
As for the total energy: -7.24 eV/atom. The formation energy (no corrections) comes out at -0.59 eV/atom. As for the polymorph energy (0 for the lowest one): 1.304 eV/f.u.

***

No. 9
TiMnS | PBE | optimized geometry Values from VASP.

Cell and atoms, written as Quantum ESPRESSO input:
```
&SYSTEM
  ibrav = 0, nat = 6, ntyp = 3
/
ATOMIC_SPECIES
Ti 47.87 Ti.upf
Mn 54.94 Mn.upf
S 32.06 S.upf
ATOMIC_POSITIONS angstrom
Ti 0.921 2.762 0.000
Ti 2.762 0.921 0.000
Mn 0.921 0.921 2.243
Mn 2.762 2.762 4.098
S 0.921 0.921 4.600
S 2.762 2.762 1.741
CELL_PARAMETERS angstrom
3.682 0.000 0.000
0.000 3.682 0.000
0.000 0.000 6.341
```

Computed properties:
As for the total energy: -7.52 eV/atom. The formation energy (no corrections) comes out at -0.46 eV/atom.

***

No. 10
Ti3MnS8 | PBE | optimized geometry Values from VASP.

Cell and atoms, written as Quantum ESPRESSO input:
```
&SYSTEM
  ibrav = 0, nat = 12, ntyp = 3
/
ATOMIC_SPECIES
Ti 47.87 Ti.upf
Mn 54.94 Mn.upf
S 32.06 S.upf
ATOMIC_POSITIONS angstrom
Ti 0.000 0.000 0.000
Ti 2.912 1.684 0.000
Ti 2.912 -1.684 0.000
Mn 5.825 0.000 0.000
S 1.942 0.000 1.438
S 4.882 1.635 1.416
S -0.013 0.000 5.203
S 2.815 1.635 5.203
S 4.882 -1.635 1.416
S 7.711 0.000 1.415
S 2.815 -1.635 5.203
S 5.755 0.000 5.180
CELL_PARAMETERS angstrom
5.825 -3.369 0.000
5.825 3.369 0.000
-3.953 0.000 6.619
```

Computed properties:
As for the total energy: -6.57 eV/atom. The formation energy (no corrections) comes out at -1.08 eV/atom.

***

No. 11
Ti4MnS5 | PBE | optimized geometry Values from VASP.

Cell and atoms, written as Quantum ESPRESSO input:
```
&SYSTEM
  ibrav = 0, nat = 10, ntyp = 3
/
ATOMIC_SPECIES
Ti 47.87 Ti.upf
Mn 54.94 Mn.upf
S 32.06 S.upf
ATOMIC_POSITIONS angstrom
Ti 2.132 0.793 0.000
Ti 3.115 -1.776 2.511
Ti 0.793 5.684 0.000
Ti 1.776 3.115 2.511
Mn 0.000 0.000 3.327
S 0.000 0.000 0.739
S 4.622 1.517 0.042
S 1.517 3.194 0.042
S 2.392 0.714 2.553
S -0.714 2.392 2.553
CELL_PARAMETERS angstrom
-3.908 3.908 2.511
3.908 -3.908 2.511
3.908 3.908 -2.511
```

Computed properties:
As for the total energy: -7.23 eV/atom. The formation energy (no corrections) comes out at -1.09 eV/atom.

***

No. 12
Ti4MnS8 | PBE | optimized geometry Values from VASP.

Cell and atoms, written as Quantum ESPRESSO input:
```
&SYSTEM
  ibrav = 0, nat = 13, ntyp = 3
/
ATOMIC_SPECIES
Ti 47.87 Ti.upf
Mn 54.94 Mn.upf
S 32.06 S.upf
ATOMIC_POSITIONS angstrom
Ti 0.000 0.000 0.000
Ti -1.707 -0.986 6.061
Ti -1.707 0.986 12.121
Ti 0.000 1.971 6.061
Mn 0.000 0.000 9.091
S 0.000 -1.976 7.524
S -1.711 0.988 7.524
S -1.711 -0.988 10.659
S 0.000 0.000 4.648
S 0.000 0.000 13.534
S 1.711 0.988 7.524
S 1.711 -0.988 10.659
S 0.000 1.976 10.659
CELL_PARAMETERS angstrom
3.415 1.971 6.061
-3.415 1.971 6.061
0.000 -3.943 6.061
```

Computed properties:
As for the total energy: -6.90 eV/atom. The formation energy (no corrections) comes out at -1.22 eV/atom. As for the polymorph energy (0 for the lowest one): 0.000 eV/f.u.

***

no.,V (Å³ per atom)
1,18.9
2,18.9
3,15.4
4,21.5
5,14.0
6,15.3
7,19.2
8,16.5
9,14.3
10,21.6
11,15.3
12,18.8